## BaSe2IBr (PBE)

Data for a relaxed BaSe2IBr crystal.

Cell: 6.6439 6.6439 6.1075 Å, 90.00 90.00 90.00°
With the nearest neighbours (Å) after each atom.
Element x y z (fractional)
Ba: 0.0000 0.0000 0.0000  2 Br 3.05, 4 Se 3.32
Se: 0.0000 0.5000 0.0000  2 Ba 3.32
Se: 0.5000 0.0000 0.0000  2 Ba 3.32
I: 0.5000 0.5000 0.5000  8 Se 4.51, 4 Br 4.70
Br: 0.0000 0.0000 0.5000  2 Ba 3.05

## Properties
Symmetry: No. 123
ΔE to the lowest computed polymorph in meV/atom: 373
Uncorrected formation energy in kcal/mol of atoms: -3.816

## Ba4SiI2Br (PBE)

Data for a relaxed Ba4SiI2Br crystal.

Cell: 8.4249 4.9034 8.7404 Å, 90.00 108.78 90.00°
With the nearest neighbours (Å) after each atom.
Element x y z (fractional)
Ba: 0.2221 0.0000 0.2128  2 Si 3.28, 1 Br 3.43, 1 I 3.58
Ba: 0.2383 0.5000 0.7797  1 Si 3.20, 2 Br 3.44
Ba: 0.7617 0.5000 0.2203  1 Si 3.20, 2 Br 3.44
Ba: 0.7779 0.0000 0.7872  2 Si 3.28, 1 Br 3.43, 1 I 3.58
Si: 0.0000 0.5000 0.0000  6 Ba 3.20-3.28
I: 0.0000 0.0000 0.5000  6 Ba 3.58-3.59
I: 0.5000 0.5000 0.5000  6 Ba 3.74-3.78
Br: 0.5000 0.0000 0.0000  6 Ba 3.43-3.44

## Properties
Symmetry: No. 10
Uncorrected formation energy in kcal/mol of atoms: -28.660

## Ba8SiI4Br3 (PBE)

Data for a relaxed Ba8SiI4Br3 crystal.

Cell: 10.0345 10.0345 10.0345 Å, 57.23 57.23 57.23°
With the nearest neighbours (Å) after each atom.
Element x y z (fractional)
Ba: 0.2433 0.2433 0.2433  3 Br 3.38, 3 I 3.58
Ba: 0.2573 0.7304 0.7304  1 Si 3.20, 2 Br 3.39
Ba: 0.2696 0.2696 0.7427  1 Si 3.20, 2 Br 3.39
Ba: 0.2696 0.7427 0.2696  1 Si 3.20, 2 Br 3.39
Ba: 0.7304 0.2573 0.7304  1 Si 3.20, 2 Br 3.39
Ba: 0.7304 0.7304 0.2573  1 Si 3.20, 2 Br 3.39
Ba: 0.7427 0.2696 0.2696  1 Si 3.20, 2 Br 3.39
Ba: 0.7567 0.7567 0.7567  3 Br 3.38, 3 I 3.58
Si: 0.5000 0.5000 0.5000  6 Ba 3.20
I: 0.0000 0.0000 0.0000  6 Ba 3.76
I: 0.0000 0.5000 0.5000  6 Ba 3.58-3.59
I: 0.5000 0.0000 0.5000  6 Ba 3.58-3.59
I: 0.5000 0.5000 0.0000  6 Ba 3.58-3.59
Br: 0.0000 0.0000 0.5000  6 Ba 3.38-3.39
Br: 0.0000 0.5000 0.0000  6 Ba 3.38-3.39
Br: 0.5000 0.0000 0.0000  6 Ba 3.38-3.39

## Properties
Symmetry: No. 166
Uncorrected formation energy in kcal/mol of atoms: -30.979

## Ba4SnI2Br (PBE)

Data for a relaxed Ba4SnI2Br crystal.

Cell: 8.4877 5.0707 8.7981 Å, 90.00 109.65 90.00°
With the nearest neighbours (Å) after each atom.
Element x y z (fractional)
Ba: 0.2343 0.0000 0.2243  2 Sn 3.41, 1 Br 3.46, 3 I 3.62-3.70
Ba: 0.2468 0.5000 0.7722  1 Sn 3.35, 2 Br 3.49, 3 I 3.63-3.72
Ba: 0.7532 0.5000 0.2278  1 Sn 3.35, 2 Br 3.49, 3 I 3.63-3.72
Ba: 0.7657 0.0000 0.7757  2 Sn 3.41, 1 Br 3.46, 3 I 3.62-3.70
Sn: 0.0000 0.5000 0.0000  6 Ba 3.35-3.41
I: 0.0000 0.0000 0.5000  6 Ba 3.62-3.63
I: 0.5000 0.5000 0.5000  6 Ba 3.70-3.72
Br: 0.5000 0.0000 0.0000  6 Ba 3.46-3.49

## Properties
Symmetry: No. 10
Uncorrected formation energy in kcal/mol of atoms: -30.110